Compound: ZrTi4Be5
Source: Alexandria via LeMat-Bulk
Functional: meta-GGA SCAN
Structure: PBEsol geometry

Unit cell a=2.954 b=2.954 c=14.744 alpha=90.00 beta=90.00 gamma=90.00
Element x y z (fractional)
Ti 0.500 0.500 0.403
Be 0.000 0.000 0.117
Be 0.000 0.000 0.883
Ti 0.500 0.500 0.791
Be 0.000 0.000 0.500
Ti 0.500 0.500 0.597
Ti 0.500 0.500 0.209
Be 0.000 0.000 0.307
Be 0.000 0.000 0.693
Zr 0.500 0.500 0.000

Values from the calculation:
formation energy	-0.140	eV/atom
calculated volume	129	Å³/cell
magnetic moment	0.00	μB per cell



Compound: ZrTiBe3
Source: Alexandria via LeMat-Bulk
Functional: meta-GGA SCAN
Structure: PBEsol geometry

Unit cell a=4.199 b=4.199 c=4.199 alpha=90.00 beta=90.00 gamma=90.00
Element x y z (fractional)
Be 0.000 0.500 0.000
Ti 0.000 0.000 0.000
Be 0.000 0.000 0.500
Be 0.500 0.000 0.000
Zr 0.500 0.500 0.500

Values from the calculation:
formation energy	0.797	eV/atom
calculated volume	74	Å³/cell
magnetic moment	2.14	μB per cell